No. 1
Hf5CdIn2 | PBE | optimized geometry

Unit cell a=4.214 b=5.710 c=16.010 alpha=90.00 beta=90.00 gamma=111.65
Element x y z (fractional)
In 0.238 0.477 0.649
In 0.238 0.477 0.851
In 0.762 0.523 0.351
In 0.762 0.523 0.149
Hf 0.958 0.916 0.910
Hf 0.958 0.916 0.590
Hf 0.554 0.109 0.750
Hf 0.354 0.708 0.467
Hf 0.646 0.292 0.533
Hf 0.446 0.891 0.250
Hf 0.042 0.084 0.410
Hf 0.354 0.708 0.033
Hf 0.646 0.292 0.967
Hf 0.042 0.084 0.090
Cd 0.159 0.319 0.250
Cd 0.841 0.681 0.750

Output
Final energy in eV per atom: -7.00
Space group: Cmcm, No. 63

No. 2
Sn6HgCl12 | PBE | optimized geometry

Unit cell a=8.658 b=8.658 c=8.658 alpha=103.62 beta=103.62 gamma=103.62
Element x y z (fractional)
Cl 0.500 0.865 0.135
Cl 0.500 0.135 0.865
Cl 0.461 0.461 0.189
Cl 0.865 0.500 0.135
Cl 0.539 0.811 0.539
Cl 0.461 0.189 0.461
Cl 0.135 0.865 0.500
Cl 0.135 0.500 0.865
Cl 0.811 0.539 0.539
Cl 0.189 0.461 0.461
Cl 0.539 0.539 0.811
Cl 0.865 0.135 0.500
Sn 0.668 0.259 0.259
Sn 0.259 0.259 0.668
Sn 0.741 0.741 0.332
Sn 0.332 0.741 0.741
Sn 0.259 0.668 0.259
Sn 0.741 0.332 0.741
Hg 0.000 0.000 0.000

Output
Final energy in eV per atom: -3.35
ΔE_f (raw) in eV/atom: -0.90
Space group: R-3m, No. 166

No. 3
Tb2Pm3Al3 | PBE | optimized geometry

Unit cell a=3.335 b=8.575 c=8.575 alpha=120.00 beta=90.00 gamma=90.00
Element x y z (fractional)
Pm 0.000 0.245 0.000
Pm 0.000 0.755 0.755
Pm 0.000 0.000 0.245
Al 0.500 0.385 0.385
Al 0.500 0.000 0.615
Al 0.500 0.615 0.000
Tb 0.000 0.333 0.667
Tb 0.000 0.667 0.333

Output
Final energy in eV per atom: -4.57
Space group: P-62m, No. 189

No. 4
Rb2Al2Cd | PBE | optimized geometry

Unit cell a=10.985 b=10.985 c=3.325 alpha=90.00 beta=90.00 gamma=90.00
Element x y z (fractional)
Al 0.918 0.418 0.500
Al 0.082 0.582 0.500
Al 0.418 0.082 0.500
Al 0.582 0.918 0.500
Rb 0.704 0.204 0.000
Rb 0.796 0.704 0.000
Rb 0.296 0.796 0.000
Rb 0.204 0.296 0.000
Cd 0.000 0.000 0.000
Cd 0.500 0.500 0.000

Output
Final energy in eV per atom: -1.62
Space group: P4/mbm, No. 127
Polymorph energy (0 for the lowest one) in meV per atom: 211

No. 5
ZrTe2Br | PBE | optimized geometry

Unit cell a=5.250 b=5.250 c=5.250 alpha=60.00 beta=60.00 gamma=60.00
Element x y z (fractional)
Br 0.000 0.000 0.000
Te 0.750 0.750 0.750
Te 0.250 0.250 0.250
Zr 0.500 0.500 0.500

Output
Final energy in eV per atom: -4.35
ΔE_f (raw) in eV/atom: -0.22
Space group: Fm-3m, No. 225
Polymorph energy (0 for the lowest one) in meV per atom: 520

No. 6
Sr2UMnS5 | PBE | optimized geometry

Unit cell a=4.066 b=8.881 c=12.532 alpha=90.00 beta=90.00 gamma=103.23
Element x y z (fractional)
S 0.713 0.425 0.168
S 0.948 0.896 0.539
S 0.052 0.104 0.039
S 0.503 0.007 0.272
S 0.689 0.379 0.876
S 0.497 0.993 0.772
S 0.640 0.280 0.505
S 0.311 0.621 0.376
S 0.360 0.720 0.005
S 0.287 0.575 0.668
U 0.793 0.586 0.523
U 0.207 0.414 0.023
Sr 0.124 0.249 0.321
Sr 0.106 0.212 0.682
Sr 0.876 0.751 0.821
Sr 0.894 0.788 0.182
Mn 0.554 0.108 0.938
Mn 0.446 0.892 0.438

Output
Final energy in eV per atom: -6.48
ΔE_f (raw) in eV/atom: -1.54
Space group: Cmc2_1, No. 36

No. 7
Tm5Si2Sb | PBE | optimized geometry

Unit cell a=7.728 b=7.728 c=8.537 alpha=116.91 beta=116.91 gamma=90.00
Element x y z (fractional)
Tm 0.795 0.986 0.281
Tm 0.000 0.000 0.000
Tm 0.486 0.295 0.281
Tm 0.986 0.486 0.281
Tm 0.205 0.014 0.719
Tm 0.514 0.705 0.719
Tm 0.014 0.514 0.719
Tm 0.705 0.205 0.719
Tm 0.295 0.795 0.281
Tm 0.500 0.500 0.000
Si 0.353 0.853 0.000
Si 0.647 0.147 0.000
Si 0.853 0.647 0.000
Si 0.147 0.353 0.000
Sb 0.750 0.750 0.500
Sb 0.250 0.250 0.500

Output
Final energy in eV per atom: -5.39
ΔE_f (raw) in eV/atom: -0.73
Space group: I4/mcm, No. 140

No. 8
RbNpTe4Au2 | PBE | optimized geometry

Unit cell a=5.147 b=8.657 c=8.657 alpha=100.87 beta=72.71 gamma=72.71
Element x y z (fractional)
Np 0.500 0.500 0.500
Rb 0.000 0.000 0.000
Au 0.178 0.322 0.322
Au 0.822 0.678 0.678
Te 0.875 0.462 0.151
Te 0.125 0.849 0.538
Te 0.488 0.538 0.849
Te 0.512 0.151 0.462

Output
Final energy in eV per atom: -4.45
ΔE_f (raw) in eV/atom: -0.32
Space group: I222, No. 23

No. 9
CrBTe2 | PBE | optimized geometry

Unit cell a=6.075 b=6.075 c=6.780 alpha=63.38 beta=63.38 gamma=90.00
Element x y z (fractional)
Te 0.875 0.817 0.750
Te 0.567 0.125 0.250
Te 0.375 0.433 0.750
Te 0.183 0.625 0.250
B 0.500 0.500 0.000
B 0.250 0.750 0.500
Cr 0.750 0.250 0.500
Cr 0.000 0.000 0.000

Output
Final energy in eV per atom: -5.20
ΔE_f (raw) in eV/atom: 0.45
Space group: I-42d, No. 122

No. 10
Li2Ni3Cl8 | PBE | optimized geometry

Unit cell a=7.174 b=7.994 c=10.249 alpha=90.00 beta=90.00 gamma=116.66
Element x y z (fractional)
Ni 0.374 0.248 0.750
Ni 0.000 0.000 0.000
Ni 0.500 0.000 0.500
Ni 0.126 0.752 0.250
Ni 0.874 0.248 0.750
Ni 0.626 0.752 0.250
Li 0.863 0.725 0.611
Li 0.637 0.275 0.111
Li 0.363 0.725 0.889
Li 0.137 0.275 0.389
Cl 0.387 0.236 0.519
Cl 0.766 0.532 0.261
Cl 0.887 0.236 0.981
Cl 0.266 0.532 0.239
Cl 0.734 0.468 0.761
Cl 0.349 0.236 0.981
Cl 0.003 0.007 0.760
Cl 0.497 0.993 0.260
Cl 0.151 0.764 0.481
Cl 0.849 0.236 0.519
Cl 0.234 0.468 0.739
Cl 0.503 0.007 0.740
Cl 0.997 0.993 0.240
Cl 0.651 0.764 0.019
Cl 0.113 0.764 0.019
Cl 0.613 0.764 0.481

Output
Final energy in eV per atom: -3.68
ΔE_f (raw) in eV/atom: -0.92
Space group: Cmce, No. 64

No. 11
AcCrHN2 | PBE | optimized geometry

Unit cell a=3.797 b=3.904 c=3.904 alpha=90.00 beta=90.00 gamma=90.00
Element x y z (fractional)
H 0.500 0.000 0.000
Ac 0.500 0.500 0.500
N 0.000 0.000 0.500
N 0.000 0.500 0.000
Cr 0.000 0.000 0.000

Output
Final energy in eV per atom: -7.48
Space group: P4/mmm, No. 123